! SrSiNO2, relaxed, DFT PBE; values from VASP
&SYSTEM
  ibrav = 0, nat = 5, ntyp = 4
/
ATOMIC_SPECIES
Sr 87.62 Sr.upf
Si 28.09 Si.upf
N 14.01 N.upf
O 16.00 O.upf
CELL_PARAMETERS angstrom
3.783 0.000 0.000
0.000 3.783 0.000
0.000 0.000 3.666
ATOMIC_POSITIONS crystal
Sr 0.000 0.000 0.000
Si 0.500 0.500 0.500
N 0.500 0.500 0.000
O 0.000 0.500 0.500
O 0.500 0.000 0.500
! **E**: -6.8129 eV per atom
! **Total moment**: 0.9 μB/cell

! TaSiNO2, relaxed, DFT PBE; values from VASP
&SYSTEM
  ibrav = 0, nat = 5, ntyp = 4
/
ATOMIC_SPECIES
Ta 180.95 Ta.upf
Si 28.09 Si.upf
N 14.01 N.upf
O 16.00 O.upf
CELL_PARAMETERS angstrom
3.935 0.000 0.000
0.000 3.935 0.000
0.000 0.000 4.171
ATOMIC_POSITIONS crystal
Ta 0.000 0.000 0.000
Si 0.500 0.500 0.500
N 0.000 0.000 0.500
O 0.000 0.500 0.000
O 0.500 0.000 0.000
! **E**: -8.1364 eV per atom
! **Total moment**: 0.0 μB/cell

! TaSiN2O, relaxed, DFT PBE; values from VASP
&SYSTEM
  ibrav = 0, nat = 5, ntyp = 4
/
ATOMIC_SPECIES
Ta 180.95 Ta.upf
Si 28.09 Si.upf
N 14.01 N.upf
O 16.00 O.upf
CELL_PARAMETERS angstrom
4.095 0.000 0.000
0.000 4.095 0.000
0.000 0.000 3.923
ATOMIC_POSITIONS crystal
Ta 0.000 0.000 0.000
Si 0.500 0.500 0.500
N 0.000 0.500 0.000
N 0.500 0.000 0.000
O 0.000 0.000 0.500
! **E**: -7.9623 eV per atom
! **Total moment**: 0.0 μB/cell

! TaSiNO2, relaxed, DFT PBE; values from VASP
&SYSTEM
  ibrav = 0, nat = 5, ntyp = 4
/
ATOMIC_SPECIES
Ta 180.95 Ta.upf
Si 28.09 Si.upf
N 14.01 N.upf
O 16.00 O.upf
CELL_PARAMETERS angstrom
3.436 0.000 0.000
0.000 3.436 0.000
0.000 0.000 3.937
ATOMIC_POSITIONS crystal
Ta 0.000 0.000 0.000
Si 0.500 0.500 0.500
N 0.500 0.500 0.000
O 0.000 0.500 0.500
O 0.500 0.000 0.500
! **E**: -8.0224 eV per atom
! **Total moment**: 1.5 μB/cell